# 1
The following is a DFT calculation (meta-GGA SCAN) of NiAg4As at its PBEsol-relaxed geometry.

abc: 5.277 5.277 5.277
angles: 60.00 60.00 60.00
Positions (direct):
Ni (0.000, 0.000, 0.000)
Ag (0.375, 0.375, 0.375)
Ag (0.375, 0.375, 0.876)
Ag (0.375, 0.876, 0.375)
Ag (0.876, 0.375, 0.375)
As (0.750, 0.750, 0.750)

## Properties
**Electronic total energy**: -158.6 eV/f.u.
**Crystal system**: cubic
**Formation enthalpy at 0 K**: 0.54 eV/atom

---

# 2
The following is a DFT calculation (meta-GGA SCAN) of MgCd2Co at its PBEsol-relaxed geometry.

abc: 5.207 5.207 4.334
angles: 114.50 114.50 39.99
Positions (direct):
Mg (0.000, 0.000, 0.000)
Cd (0.231, 0.231, 0.731)
Cd (0.769, 0.769, 0.269)
Co (0.500, 0.500, 0.500)

## Properties
**Electronic total energy**: -82.9 eV/f.u.
**Crystal system**: monoclinic
**Formation enthalpy at 0 K**: 0.04 eV/atom

---

# 3
The following is a DFT calculation (meta-GGA SCAN) of CsYSn2 at its PBEsol-relaxed geometry.

abc: 5.638 5.638 5.638
angles: 60.00 60.00 60.00
Positions (direct):
Cs (0.000, 0.000, 0.000)
Y (0.500, 0.500, 0.500)
Sn (0.250, 0.250, 0.250)
Sn (0.750, 0.750, 0.750)

## Properties
**Electronic total energy**: -137.6 eV/f.u.
**Crystal system**: cubic
**Formation enthalpy at 0 K**: -0.02 eV/atom

---

# 4
The following is a DFT calculation (meta-GGA SCAN) of Lu2Co12P7 at its PBEsol-relaxed geometry.

abc: 8.863 8.863 3.504
angles: 90.00 90.00 120.00
Positions (direct):
Lu (0.000, 0.000, 0.000)
Lu (0.333, 0.667, 0.500)
Co (0.042, 0.770, 0.500)
Co (0.103, 0.388, 0.000)
Co (0.230, 0.272, 0.500)
Co (0.284, 0.897, 0.000)
Co (0.430, 0.230, 0.000)
Co (0.512, 0.059, 0.500)
Co (0.547, 0.488, 0.500)
Co (0.612, 0.716, 0.000)
Co (0.728, 0.958, 0.500)
Co (0.770, 0.201, 0.000)
Co (0.799, 0.570, 0.000)
Co (0.941, 0.453, 0.500)
P (0.071, 0.625, 0.000)
P (0.259, 0.041, 0.500)
P (0.375, 0.446, 0.000)
P (0.554, 0.929, 0.000)
P (0.667, 0.333, 0.500)
P (0.782, 0.741, 0.500)
P (0.959, 0.218, 0.500)

## Properties
**Electronic total energy**: -407.0 eV/f.u.
**Crystal system**: hexagonal
**Formation enthalpy at 0 K**: -0.76 eV/atom

---

# 5
The following is a DFT calculation (meta-GGA SCAN) of Co2TcBr at its PBEsol-relaxed geometry.

abc: 2.753 2.753 8.271
angles: 90.00 90.00 115.69
Positions (direct):
Co (0.000, 0.000, 0.232)
Co (0.000, 0.000, 0.768)
Tc (0.500, 0.500, 0.000)
Br (0.500, 0.500, 0.500)

## Properties
**Electronic total energy**: -86.1 eV/f.u.
**Crystal system**: orthorhombic
**E_form (uncorrected)**: 746 meV/atom

---

# 6
The following is a DFT calculation (meta-GGA SCAN) of IrPbAuI2 at its PBEsol-relaxed geometry.

abc: 5.251 5.251 5.133
angles: 90.00 90.00 90.00
Positions (direct):
Ir (0.000, 0.000, 0.000)
Pb (0.500, 0.500, 0.500)
Au (0.000, 0.000, 0.500)
I (0.000, 0.500, 0.000)
I (0.500, 0.000, 0.000)

## Properties
**Electronic total energy**: -287.2 eV/f.u.
**Crystal system**: tetragonal
**E_form (uncorrected)**: 471 meV/atom